The following is a DFT calculation (PBE-GGA) of an optimized crystal structure of BaGeAu4.

Lattice parameters (Å, degrees): 8.1740 8.1740 8.1740 90.00 90.00 90.00
Space group F-43m (No. 216)
Unique sites:
Ba1 0.0000 0.0000 0.0000 [4 per cell]
Ge1 0.2500 0.2500 0.7500 [4 per cell]
Au1 0.1243 0.1243 0.3757 [16 per cell]

Computed properties:
Crystal system: cubic
E above lowest polymorph: 129 meV/atom
Spin magnetization: 0.00 μB per formula unit
Formation energy from the elements: -247 meV/atom
VASP energy: -3.5215 eV/atom